Below is a relaxed ZnTeI2 crystal, with properties calculated at the PBEsol level.

Results
space-group type = No. 122
raw formation energy = 0.1535 eV per atom

Unit cell a=6.814 b=6.814 c=6.814 alpha=105.61 beta=105.61 gamma=117.50
Positions (direct):
Zn (0.000, 0.000, 0.000)
Zn (0.750, 0.250, 0.500)
Te (0.250, 0.750, 0.500)
Te (0.500, 0.500, 0.000)
I (0.057, 0.625, 0.932)
I (0.375, 0.307, 0.432)
I (0.693, 0.125, 0.068)
I (0.875, 0.943, 0.568)